Sc2ZnPb | GGA-PBE | optimized geometry

Unit cell a=5.236 b=5.236 c=3.276 alpha=90.00 beta=90.00 gamma=105.20
Atoms (fractional coordinates):
Pb: 0.000 0.500 0.500
Sc: 0.000 0.000 0.000
Sc: 0.500 0.500 0.000
Zn: 0.500 0.000 0.500

Computed properties:
SG: No. 65
DOS at the Fermi energy: 0.738 states/eV/atom
Raw total energy: -18.82 eV for the cell shown


BaY2Te | GGA-PBE | optimized geometry

Unit cell a=9.630 b=9.630 c=7.634 alpha=50.89 beta=50.89 gamma=90.00
Atoms (fractional coordinates):
Y: 0.548 0.125 0.250
Y: 0.202 0.625 0.250
Y: 0.375 0.452 0.750
Y: 0.875 0.798 0.750
Te: 0.500 0.500 0.000
Te: 0.250 0.750 0.500
Ba: 0.000 0.000 0.000
Ba: 0.750 0.250 0.500

Computed properties:
SG: No. 122
Uncorrected formation energy: -0.29 eV/atom
DOS at the Fermi energy: 1.135 states/eV/atom


SbPdAu | GGA-PBE | optimized geometry

Unit cell a=3.146 b=6.053 c=6.399 alpha=90.00 beta=90.03 gamma=90.00
Atoms (fractional coordinates):
Sb: 0.500 0.750 0.774
Sb: 0.500 0.250 0.226
Pd: 0.000 0.000 0.500
Pd: 0.000 0.500 0.500
Au: 0.499 0.750 0.200
Au: 0.501 0.250 0.800

Computed properties:
SG: No. 51
Uncorrected formation energy: -0.20 eV/atom
DOS at the Fermi energy: 0.401 states/eV/atom